Entry 1:
Here is crystalline Pr4TlHg at its relaxed geometry from Alexandria. Energies are from PBE-GGA.

As for the final energy: -3.894 eV/atom. As for the energy above the most stable polymorph in this dataset: 0.000 eV/atom.

It has space group P4/mmm (No. 123), with a = 3.819 Å, b = 3.819 Å, c = 13.273 Å, α = 90.00°, β = 90.00° and γ = 90.00°. The distinct sites, in fractional coordinates, are Pr at (0.000, 0.000, 0.149), Pr at (0.500, 0.500, 0.343), Tl at (0.000, 0.000, 0.500) and Hg at (0.500, 0.500, 0.000).

---

Entry 2:
Here is crystalline Rh7Pb6 at its relaxed geometry from Alexandria. Energies are from PBE-GGA.

As for the final energy: -5.595 eV/atom.

It has space group R-3m (No. 166, hexagonal axes), with a = 5.7179 Å, b = 5.7179 Å, c = 27.5649 Å, α = 90.00°, β = 90.00° and γ = 120.00°. The distinct sites, in fractional coordinates, are Rh at (0.0000, 0.0000, 0.0000), Rh at (0.0110, 0.5055, 0.5825), Pb at (0.0000, 0.0000, 0.1683), Pb at (0.0000, 0.0000, 0.3289) and Pb at (0.0000, 0.0000, 0.4396).

---

Entry 3:
Here is crystalline La3W2 at its relaxed geometry from Alexandria. Energies are from PBE-GGA.

As for the final energy: -7.465 eV/atom. As for the energy above the most stable polymorph in this dataset: 0.025 eV/atom.

It has space group P-3m1 (No. 164), with a = 4.9480 Å, b = 4.9480 Å, c = 6.4143 Å, α = 90.00°, β = 90.00° and γ = 120.00°. The distinct sites, in fractional coordinates, are La at (0.0000, 0.0000, 0.0000), La at (0.3333, 0.6667, 0.3851) and W at (0.3333, 0.6667, 0.9276).

---

Entry 4:
Here is crystalline Al2FeBiH at its relaxed geometry from Alexandria. Energies are from PBE-GGA.

As for the final energy: -4.206 eV/atom.

It has space group P4/mmm (No. 123), with a = 4.544 Å, b = 4.544 Å, c = 4.844 Å, α = 90.00°, β = 90.00° and γ = 90.00°. The distinct sites, in fractional coordinates, are Al at (0.000, 0.500, 0.000), Fe at (0.000, 0.000, 0.000), Bi at (0.000, 0.000, 0.500) and H at (0.500, 0.500, 0.500).

---

Entry 5:
Here is crystalline InP2H at its relaxed geometry from Alexandria. Energies are from PBE-GGA.

As for the final energy: -3.770 eV/atom. As for the energy above the most stable polymorph in this dataset: 0.000 eV/atom.

It has space group I-42d (No. 122), with a = 4.627 Å, b = 4.627 Å, c = 12.698 Å, α = 90.00°, β = 90.00° and γ = 90.00°. The distinct sites, in fractional coordinates, are In at (0.000, 0.000, 0.000), P at (0.088, 0.250, 0.625) and H at (0.000, 0.000, 0.500).

---

Entry 6:
Here is crystalline Cs2AlCrI at its relaxed geometry from Alexandria. Energies are from PBE-GGA.

As for the final energy: -3.089 eV/atom.

It has space group P4/mmm (No. 123), with a = 6.300 Å, b = 6.300 Å, c = 4.800 Å, α = 90.00°, β = 90.00° and γ = 90.00°. The distinct sites, in fractional coordinates, are Cs at (0.000, 0.500, 0.000), Al at (0.000, 0.000, 0.500), Cr at (0.000, 0.000, 0.000) and I at (0.500, 0.500, 0.500).

---

Entry 7:
Here is crystalline CeTm2PuP4 at its relaxed geometry from Alexandria. Energies are from PBE-GGA.

As for the final energy: -7.819 eV/atom.

It has space group P2/m (No. 10), with a = 6.906 Å, b = 4.002 Å, c = 6.923 Å, α = 90.00°, β = 109.63° and γ = 90.00°. The distinct sites, in fractional coordinates, are Ce at (0.000, 0.000, 0.000), Tm at (0.500, 0.000, 0.500), Tm at (0.500, 0.500, 0.000), Pu at (0.000, 0.500, 0.500), P at (0.252, 0.000, 0.748) and P at (0.255, 0.500, 0.253).

---

Entry 8:
Here is crystalline Sr3Li7Ga2 at its relaxed geometry from Alexandria. Energies are from PBE-GGA.

As for the final energy: -2.137 eV/atom.

It has space group R-3m (No. 166, hexagonal axes), with a = 6.1338 Å, b = 6.1338 Å, c = 29.6273 Å, α = 90.00°, β = 90.00° and γ = 120.00°. The distinct sites, in fractional coordinates, are Sr at (0.0000, 0.0000, 0.0000), Sr at (0.0000, 0.0000, 0.1398), Li at (0.0000, 0.0000, 0.5000), Li at (0.0028, 0.5014, 0.0720) and Ga at (0.0000, 0.0000, 0.3323).

---

Entry 9:
Here is crystalline CeSiOsC at its relaxed geometry from Alexandria. Energies are from PBE-GGA.

As for the final energy: -8.333 eV/atom.

It has space group P4/nmm (No. 129, origin choice 2), with a = 3.936 Å, b = 3.936 Å, c = 8.487 Å, α = 90.00°, β = 90.00° and γ = 90.00°. The distinct sites, in fractional coordinates, are Ce at (0.250, 0.250, 0.155), Si at (0.250, 0.250, 0.661), Os at (0.250, 0.750, 0.500) and C at (0.250, 0.250, 0.878).

---

Entry 10:
Here is crystalline MnCd2Hg at its relaxed geometry from Alexandria. Energies are from PBE-GGA.

As for the final energy: -2.496 eV/atom.

It has space group I-42d (No. 122), with a = 4.207 Å, b = 4.207 Å, c = 20.386 Å, α = 90.00°, β = 90.00° and γ = 90.00°. The distinct sites, in fractional coordinates, are Mn at (0.000, 0.000, 0.000), Cd at (0.240, 0.250, 0.125) and Hg at (0.000, 0.000, 0.500).

---

Entry 11:
Here is crystalline BaLaCd2Co at its relaxed geometry from Alexandria. Energies are from PBE-GGA.

As for the final energy: -3.337 eV/atom. As for the energy above the most stable polymorph in this dataset: 0.000 eV/atom.

It has space group P4/mmm (No. 123), with a = 5.390 Å, b = 5.390 Å, c = 4.913 Å, α = 90.00°, β = 90.00° and γ = 90.00°. The distinct sites, in fractional coordinates, are Ba at (0.000, 0.000, 0.000), La at (0.500, 0.500, 0.000), Cd at (0.000, 0.500, 0.500) and Co at (0.500, 0.500, 0.500).

---

Entry 12:
Here is crystalline NpTl2Hg at its relaxed geometry from Alexandria. Energies are from PBE-GGA.

As for the final energy: -4.291 eV/atom.

It has space group P4/mmm (No. 123), with a = 4.819 Å, b = 4.819 Å, c = 4.566 Å, α = 90.00°, β = 90.00° and γ = 90.00°. The distinct sites, in fractional coordinates, are Np at (0.000, 0.000, 0.000), Tl at (0.000, 0.500, 0.500) and Hg at (0.500, 0.500, 0.000).